No. 1
A plane-wave DFT calculation with PBE was carried out for a geometry-optimized BiPtF3 structure.

Computed properties:
- spin magnetization (Bohr magnetons per cell) = 0.2
- DFT total energy (eV/cell) = -20.17
- formation energy without anion corrections (eV per atom) = -0.93
- energy relative to the lowest polymorph listed for this composition (eV per atom) = 0.000

Lattice parameters (Å, degrees): 4.570 4.570 4.570 90.00 90.00 90.00
Site moments in Bohr magnetons follow the coordinates.
Positions (direct):
Pt 0.500 0.500 0.500  0.24
Bi 0.000 0.000 0.000  0.00
F 0.000 0.000 0.500  0.00
F 0.000 0.500 0.000  0.00
F 0.500 0.000 0.000  0.00

No. 2
A plane-wave DFT calculation with PBE was carried out for a geometry-optimized BiPtF2 structure.

Computed properties:
- spin magnetization (Bohr magnetons per cell) = 0.0
- DFT total energy (eV/cell) = -16.27
- formation energy without anion corrections (eV per atom) = -0.65
- energy relative to the lowest polymorph listed for this composition (eV per atom) = 0.277

Lattice parameters (Å, degrees): 4.439 4.439 4.439 60.00 60.00 60.00
Positions (direct):
Bi 0.500 0.500 0.500
F 0.250 0.250 0.250
F 0.750 0.750 0.750
Pt 0.000 0.000 0.000

No. 3
A plane-wave DFT calculation with PBE was carried out for a geometry-optimized Bi4PtF structure.

Computed properties:
- spin magnetization (Bohr magnetons per cell) = 0.0
- DFT total energy (eV/cell) = -52.84
- formation energy without anion corrections (eV per atom) = -0.50

Lattice parameters (Å, degrees): 6.848 8.082 7.889 120.81 104.15 90.00
Positions (direct):
F 0.970 0.153 0.307
F 0.030 0.847 0.693
Pt 0.225 0.470 0.940
Pt 0.775 0.530 0.060
Bi 0.133 0.696 0.392
Bi 0.515 0.425 0.245
Bi 0.000 0.221 0.000
Bi 0.515 0.821 0.245
Bi 0.867 0.304 0.608
Bi 0.485 0.575 0.755
Bi 0.485 0.179 0.755
Bi 0.000 0.779 0.000

No. 4
A plane-wave DFT calculation with PBE was carried out for a geometry-optimized Bi2PtF structure.

Computed properties:
- spin magnetization (Bohr magnetons per cell) = 0.0
- DFT total energy (eV/cell) = -36.03
- formation energy without anion corrections (eV per atom) = -0.59
- energy relative to the lowest polymorph listed for this composition (eV per atom) = 0.203

Lattice parameters (Å, degrees): 5.202 5.202 8.373 71.90 71.90 90.00
Positions (direct):
Pt 0.750 0.250 0.500
Pt 0.000 0.000 0.000
Bi 0.594 0.125 0.250
Bi 0.156 0.625 0.250
Bi 0.875 0.844 0.750
Bi 0.375 0.406 0.750
F 0.250 0.750 0.500
F 0.500 0.500 0.000

No. 5
A plane-wave DFT calculation with PBE was carried out for a geometry-optimized Bi2PtF structure.

Computed properties:
- spin magnetization (Bohr magnetons per cell) = 0.0
- DFT total energy (eV/cell) = -18.83
- formation energy without anion corrections (eV per atom) = -0.79
- energy relative to the lowest polymorph listed for this composition (eV per atom) = 0.000

Lattice parameters (Å, degrees): 4.820 4.820 4.820 60.00 60.00 60.00
Positions (direct):
Bi 0.750 0.750 0.750
Bi 0.250 0.250 0.250
Pt 0.500 0.500 0.500
F 0.000 0.000 0.000

No. 6
A plane-wave DFT calculation with PBE was carried out for a geometry-optimized Bi2PtF2 structure.

Computed properties:
- spin magnetization (Bohr magnetons per cell) = 0.0
- DFT total energy (eV/cell) = -44.78
- formation energy without anion corrections (eV per atom) = -0.97
- energy relative to the lowest polymorph listed for this composition (eV per atom) = 0.137

Lattice parameters (Å, degrees): 7.869 7.869 3.043 90.00 90.00 90.00
Positions (direct):
Bi 0.293 0.793 0.000
Bi 0.793 0.707 0.000
Bi 0.207 0.293 0.000
Bi 0.707 0.207 0.000
F 0.617 0.883 0.500
F 0.883 0.383 0.500
F 0.117 0.617 0.500
F 0.383 0.117 0.500
Pt 0.500 0.500 0.000
Pt 0.000 0.000 0.000

No. 7
A plane-wave DFT calculation with PBE was carried out for a geometry-optimized BiPt3F structure.

Computed properties:
- spin magnetization (Bohr magnetons per cell) = 0.0
- DFT total energy (eV/cell) = -21.76
- formation energy without anion corrections (eV per atom) = 0.42
- energy relative to the lowest polymorph listed for this composition (eV per atom) = 0.000

Lattice parameters (Å, degrees): 4.505 4.505 4.505 90.00 90.00 90.00
Positions (direct):
Pt 0.500 0.000 0.000
Pt 0.000 0.500 0.000
Pt 0.000 0.000 0.500
Bi 0.500 0.500 0.500
F 0.000 0.000 0.000

No. 8
A plane-wave DFT calculation with PBE was carried out for a geometry-optimized BiPt3F structure.

Computed properties:
- spin magnetization (Bohr magnetons per cell) = 0.0
- DFT total energy (eV/cell) = -18.13
- formation energy without anion corrections (eV per atom) = 1.15
- energy relative to the lowest polymorph listed for this composition (eV per atom) = 0.724

Lattice parameters (Å, degrees): 5.126 5.126 5.126 90.00 90.00 90.00
Positions (direct):
Pt 0.000 0.000 0.500
Pt 0.500 0.000 0.000
Pt 0.000 0.500 0.000
Bi 0.000 0.000 0.000
F 0.500 0.500 0.500

No. 9
A plane-wave DFT calculation with PBE was carried out for a geometry-optimized BiPtF2 structure.

Computed properties:
- spin magnetization (Bohr magnetons per cell) = 0.0
- DFT total energy (eV/cell) = -16.94
- formation energy without anion corrections (eV per atom) = -0.82
- energy relative to the lowest polymorph listed for this composition (eV per atom) = 0.110

Lattice parameters (Å, degrees): 8.335 8.335 8.335 21.67 21.67 21.67
Positions (direct):
Bi 0.500 0.500 0.500
Pt 0.000 0.000 0.000
F 0.083 0.083 0.083
F 0.917 0.917 0.917

No. 10
A plane-wave DFT calculation with PBE was carried out for a geometry-optimized Bi2PtF4 structure.

Computed properties:
- spin magnetization (Bohr magnetons per cell) = 0.0
- DFT total energy (eV/cell) = -27.72
- formation energy without anion corrections (eV per atom) = -0.92

Lattice parameters (Å, degrees): 4.125 4.125 8.788 76.42 76.42 90.00
Positions (direct):
F 0.229 0.229 0.541
F 0.500 0.000 0.000
F 0.000 0.500 0.000
F 0.771 0.771 0.459
Pt 0.000 0.000 0.000
Bi 0.643 0.643 0.714
Bi 0.357 0.357 0.286

No. 11
A plane-wave DFT calculation with PBE was carried out for a geometry-optimized BiPtF2 structure.

Computed properties:
- spin magnetization (Bohr magnetons per cell) = 0.0
- DFT total energy (eV/cell) = -34.75
- formation energy without anion corrections (eV per atom) = -0.93
- energy relative to the lowest polymorph listed for this composition (eV per atom) = 0.000

Lattice parameters (Å, degrees): 4.018 4.018 8.729 76.69 76.69 90.00
Positions (direct):
F 0.116 0.625 0.250
F 0.875 0.884 0.750
F 0.634 0.125 0.250
F 0.375 0.366 0.750
Bi 0.750 0.250 0.500
Bi 0.000 0.000 0.000
Pt 0.500 0.500 0.000
Pt 0.250 0.750 0.500

No. 12
A plane-wave DFT calculation with PBE was carried out for a geometry-optimized BiPtF3 structure.

Computed properties:
- spin magnetization (Bohr magnetons per cell) = 0.4
- DFT total energy (eV/cell) = -18.74
- formation energy without anion corrections (eV per atom) = -0.64
- energy relative to the lowest polymorph listed for this composition (eV per atom) = 0.287

Lattice parameters (Å, degrees): 4.392 4.392 4.392 90.00 90.00 90.00
Site moments in Bohr magnetons follow the coordinates.
Positions (direct):
F 0.500 0.000 0.000  0.01
F 0.000 0.500 0.000  0.01
F 0.000 0.000 0.500  0.04
Bi 0.500 0.500 0.500  0.23
Pt 0.000 0.000 0.000  0.00

No. 13
A plane-wave DFT calculation with PBE was carried out for a geometry-optimized BiPtF6 structure.

Computed properties:
- spin magnetization (Bohr magnetons per cell) = 1.0
- DFT total energy (eV/cell) = -34.80
- formation energy without anion corrections (eV per atom) = -1.71

Lattice parameters (Å, degrees): 4.941 4.941 7.614 124.07 124.07 77.22
Site moments in Bohr magnetons follow the coordinates.
Positions (direct):
F 0.558 0.009 0.697  0.06
F 0.198 0.198 0.924  0.00
F 0.442 0.991 0.303  0.06
F 0.991 0.442 0.303  0.06
F 0.009 0.558 0.697  0.06
F 0.802 0.802 0.076  0.00
Pt 0.000 0.000 0.000  0.69
Bi 0.000 0.000 0.500  0.07

No. 14
A plane-wave DFT calculation with PBE was carried out for a geometry-optimized BiPtF2 structure.

Computed properties:
- spin magnetization (Bohr magnetons per cell) = 1.2
- DFT total energy (eV/cell) = -15.56
- formation energy without anion corrections (eV per atom) = -0.47
- energy relative to the lowest polymorph listed for this composition (eV per atom) = 0.455

Lattice parameters (Å, degrees): 8.901 8.901 8.901 20.31 20.31 20.31
Site moments in Bohr magnetons follow the coordinates.
Positions (direct):
F 0.915 0.915 0.915  0.03
F 0.085 0.085 0.085  0.03
Pt 0.500 0.500 0.500  1.05
Bi 0.000 0.000 0.000  0.02

No. 15
A plane-wave DFT calculation with PBE was carried out for a geometry-optimized Rb2BiPtF6 structure.

Computed properties:
- spin magnetization (Bohr magnetons per cell) = 1.0
- DFT total energy (eV/cell) = -43.08
- formation energy without anion corrections (eV per atom) = -2.00

Lattice parameters (Å, degrees): 6.305 6.305 7.094 63.62 63.62 90.00
Site moments in Bohr magnetons follow the coordinates.
Positions (direct):
F 0.745 0.745 0.000  0.03
F 0.745 0.255 0.000  0.03
F 0.255 0.255 0.000  0.03
F 0.204 0.204 0.592  0.00
F 0.796 0.796 0.408  0.00
F 0.255 0.745 0.000  0.03
Rb 0.750 0.250 0.500  0.00
Rb 0.250 0.750 0.500  0.00
Bi 0.000 0.000 0.000  0.08
Pt 0.500 0.500 0.000  0.79

No. 16
A plane-wave DFT calculation with PBE was carried out for a geometry-optimized ReBi2PtF structure.

Computed properties:
- spin magnetization (Bohr magnetons per cell) = 0.0
- DFT total energy (eV/cell) = -25.77
- formation energy without anion corrections (eV per atom) = 0.47

Lattice parameters (Å, degrees): 5.281 4.856 5.281 90.00 90.00 90.00
Positions (direct):
Pt 0.000 0.500 0.000
Bi 0.000 0.000 0.500
Bi 0.500 0.000 0.000
Re 0.000 0.000 0.000
F 0.500 0.500 0.500

No. 17
A plane-wave DFT calculation with PBE was carried out for a geometry-optimized Bi2RuPtF structure.

Computed properties:
- spin magnetization (Bohr magnetons per cell) = 1.5
- DFT total energy (eV/cell) = -22.68
- formation energy without anion corrections (eV per atom) = 0.45

Lattice parameters (Å, degrees): 4.955 4.260 4.955 90.00 90.00 90.00
Site moments in Bohr magnetons follow the coordinates.
Positions (direct):
F 0.000 0.000 0.000  0.01
Bi 0.000 0.000 0.500  -0.04
Bi 0.500 0.000 0.000  -0.03
Ru 0.500 0.500 0.500  1.35
Pt 0.000 0.500 0.000  0.11

No. 18
A plane-wave DFT calculation with PBE was carried out for a geometry-optimized BiPtS2F structure.

Computed properties:
- spin magnetization (Bohr magnetons per cell) = 0.3
- DFT total energy (eV/cell) = -15.63
- formation energy without anion corrections (eV per atom) = 0.88

Lattice parameters (Å, degrees): 5.216 5.232 5.216 90.00 90.00 90.00
Site moments in Bohr magnetons follow the coordinates.
Positions (direct):
S 0.500 0.000 0.000  0.03
S 0.000 0.000 0.500  0.04
Bi 0.000 0.000 0.000  -0.01
F 0.500 0.500 0.500  0.01
Pt 0.000 0.500 0.000  0.14

No. 19
A plane-wave DFT calculation with PBE was carried out for a geometry-optimized TaBi2PtF structure.

Computed properties:
- spin magnetization (Bohr magnetons per cell) = 0.0
- DFT total energy (eV/cell) = -28.12
- formation energy without anion corrections (eV per atom) = -0.12

Lattice parameters (Å, degrees): 5.510 3.965 5.510 90.00 90.00 90.00
Positions (direct):
Ta 0.000 0.000 0.000
F 0.000 0.500 0.000
Pt 0.500 0.500 0.500
Bi 0.000 0.000 0.500
Bi 0.500 0.000 0.000